1.
First-principles (PBE) data for RbBiAsBr2 after structural relaxation, as listed in Alexandria via LeMat-Bulk.

Calculated values
crystal system	tetragonal
VASP energy	-10.62	eV/cell
ΔE_f (raw)	0.45	eV per atom

Structure (CIF):
```
data_RbBiAsBr2
_chemical_formula_sum 'Rb1 Bi1 As1 Br2'
_space_group_name_H-M_alt 'P 4/m m m'
_space_group_IT_number 123
_space_group_name_Hall '-P 4 2'
_cell_length_a 6.1629
_cell_length_b 6.1629
_cell_length_c 6.3996
_cell_angle_alpha 90.00
_cell_angle_beta 90.00
_cell_angle_gamma 90.00
loop_
_atom_site_label
_atom_site_type_symbol
_atom_site_fract_x
_atom_site_fract_y
_atom_site_fract_z
_atom_site_occupancy
Rb1 Rb 0.0000 0.0000 0.0000 1
Bi1 Bi 0.5000 0.5000 0.5000 1
As1 As 0.0000 0.0000 0.5000 1
Br1 Br 0.0000 0.5000 0.0000 1
```

---

2.
First-principles (PBE) data for Sc2TiPbC after structural relaxation, as listed in Alexandria via LeMat-Bulk.

Calculated values
calculated formation energy	-0.568	eV per atom
crystal system	tetragonal
VASP energy	-36.33	eV/cell

Structure (CIF):
```
data_Sc2TiPbC
_chemical_formula_sum 'Sc2 Ti1 Pb1 C1'
_space_group_name_H-M_alt 'P 4/m m m'
_space_group_IT_number 123
_space_group_name_Hall '-P 4 2'
_cell_length_a 4.5615
_cell_length_b 4.5615
_cell_length_c 4.2951
_cell_angle_alpha 90.00
_cell_angle_beta 90.00
_cell_angle_gamma 90.00
loop_
_atom_site_label
_atom_site_type_symbol
_atom_site_fract_x
_atom_site_fract_y
_atom_site_fract_z
_atom_site_occupancy
Sc1 Sc 0.0000 0.5000 0.0000 1
Ti1 Ti 0.0000 0.0000 0.5000 1
Pb1 Pb 0.5000 0.5000 0.5000 1
C1 C 0.0000 0.0000 0.0000 1
```

---

3.
First-principles (PBE) data for KRh2W after structural relaxation, as listed in Alexandria via LeMat-Bulk.

Calculated values
calculated formation energy	1.232	eV per atom
crystal system	tetragonal
VASP energy	-47.65	eV/cell

Structure (CIF):
```
data_KRh2W
_chemical_formula_sum 'K2 Rh4 W2'
_space_group_name_H-M_alt 'I -4 m 2'
_space_group_IT_number 119
_space_group_name_Hall 'I -4 -2'
_cell_length_a 3.9414
_cell_length_b 3.9414
_cell_length_c 8.9445
_cell_angle_alpha 90.00
_cell_angle_beta 90.00
_cell_angle_gamma 90.00
loop_
_atom_site_label
_atom_site_type_symbol
_atom_site_fract_x
_atom_site_fract_y
_atom_site_fract_z
_atom_site_occupancy
K1 K 0.0000 0.0000 0.0000 1
Rh1 Rh 0.0000 0.0000 0.5000 1
Rh2 Rh 0.0000 0.5000 0.7500 1
W1 W 0.0000 0.5000 0.2500 1
```

---

4.
First-principles (PBE) data for DyTm2Rh4 after structural relaxation, as listed in Alexandria via LeMat-Bulk.

Calculated values
calculated formation energy	-0.589	eV per atom
crystal system	trigonal
VASP energy	-141.22	eV/cell

Structure (CIF):
```
data_DyTm2Rh4
_chemical_formula_sum 'Dy3 Tm6 Rh12'
_space_group_name_H-M_alt 'R -3 m'
_space_group_IT_number 166
_space_group_name_Hall '-R 3 2"'
_cell_length_a 4.6150
_cell_length_b 4.6150
_cell_length_c 22.9913
_cell_angle_alpha 90.00
_cell_angle_beta 90.00
_cell_angle_gamma 120.00
loop_
_atom_site_label
_atom_site_type_symbol
_atom_site_fract_x
_atom_site_fract_y
_atom_site_fract_z
_atom_site_occupancy
Dy1 Dy 0.0000 0.0000 0.0000 1
Tm1 Tm 0.0000 0.0000 0.2393 1
Rh1 Rh 0.0000 0.0000 0.1218 1
Rh2 Rh 0.0000 0.0000 0.3763 1
```

---

| no. | volume (Å³ per atom) |
| --- | --- |
| 1 | 48.6 |
| 2 | 17.9 |
| 3 | 17.4 |
| 4 | 20.2 |